1.
Tb4Pr3Nd2 PBE-GGA optimized geometry; theoretical density = 7.29 Mg/m³; distance to the lowest polymorph of the same formula = 0 meV per atom; formation energy = 0.017 eV per atom
1.0
6.300 0.000 0.000
1.048 6.215 0.000
1.059 1.947 7.832
Tb Pr Nd
4 3 2
direct
0.053 0.278 0.388 Tb
0.275 0.390 0.946 Tb
0.725 0.610 0.054 Tb
0.947 0.722 0.612 Tb
0.389 0.943 0.723 Pr
0.500 0.500 0.500 Pr
0.611 0.057 0.277 Pr
0.167 0.832 0.166 Nd
0.833 0.168 0.834 Nd

***

2.
TbPr2Nd8 PBE-GGA optimized geometry; theoretical density = 6.78 Mg/m³; distance to the lowest polymorph of the same formula = 0 meV per atom; formation energy = 0.119 eV per atom
1.0
5.695 -3.768 0.000
5.695 3.768 0.000
-2.779 0.000 9.098
Tb Pr Nd
1 2 8
direct
0.000 0.000 0.000 Tb
0.141 0.141 0.631 Pr
0.859 0.859 0.369 Pr
0.216 0.650 0.732 Nd
0.307 0.307 0.004 Nd
0.323 0.323 0.375 Nd
0.350 0.784 0.268 Nd
0.650 0.216 0.732 Nd
0.677 0.677 0.625 Nd
0.693 0.693 0.996 Nd
0.784 0.350 0.268 Nd

***

3.
Tb2Pr3Nd8 PBE-GGA optimized geometry; theoretical density = 6.69 Mg/m³; distance to the lowest polymorph of the same formula = 64 meV per atom; formation energy = 0.212 eV per atom
1.0
10.338 -3.890 0.000
10.338 3.890 0.000
-0.004 0.000 5.844
Tb Pr Nd
2 3 8
direct
0.242 0.242 0.498 Tb
0.758 0.758 0.502 Tb
0.000 0.000 0.500 Pr
0.288 0.712 0.000 Pr
0.712 0.288 0.000 Pr
0.136 0.136 0.999 Nd
0.184 0.600 0.500 Nd
0.325 0.325 0.999 Nd
0.400 0.816 0.500 Nd
0.600 0.184 0.500 Nd
0.675 0.675 0.001 Nd
0.816 0.400 0.500 Nd
0.864 0.864 0.001 Nd

***

4.
Tb3Pr7Nd2 PBE-GGA optimized geometry; theoretical density = 6.90 Mg/m³; distance to the lowest polymorph of the same formula = 0 meV per atom; formation energy = 0.065 eV per atom
1.0
6.567 0.000 0.000
0.000 3.609 0.000
-1.792 0.000 17.789
Tb Pr Nd
3 7 2
direct
0.000 0.000 0.000 Tb
0.045 0.500 0.660 Tb
0.955 0.500 0.340 Tb
0.221 0.500 0.165 Pr
0.242 0.000 0.505 Pr
0.273 0.000 0.830 Pr
0.500 0.500 0.000 Pr
0.727 0.000 0.170 Pr
0.758 0.000 0.495 Pr
0.779 0.500 0.835 Pr
0.441 0.000 0.330 Nd
0.559 0.000 0.670 Nd

***

> formation energy of number 3 (Tb2Pr3Nd8)?

0.212 eV per atom

***

> Which value of theoretical density does entry 1 give?

7.29 Mg/m³